First-principles (PBE+U) data for a relaxed GaCoTeO6 crystal, as listed in the Alexandria database.

Cell: 5.103 5.103 8.806 Å, 90.00 90.00 120.00°
Element x y z (fractional)
Ga 0.333 0.667 0.250
Ga 0.667 0.333 0.750
Co 0.000 0.000 0.000
Co 0.000 0.000 0.500
Te 0.333 0.667 0.750
Te 0.667 0.333 0.250
O 0.007 0.348 0.629
O 0.007 0.659 0.871
O 0.341 0.348 0.871
O 0.341 0.993 0.629
O 0.348 0.007 0.129
O 0.348 0.341 0.371
O 0.652 0.659 0.629
O 0.652 0.993 0.871
O 0.659 0.007 0.371
O 0.659 0.652 0.129
O 0.993 0.341 0.129
O 0.993 0.652 0.371

Calculated values
Spin magnetization, Bohr magnetons per cell: 8.085
Density of states at the Fermi level, states/eV per cell: 8.267
VASP energy, eV/atom: -5.650